i | DFT (GGA+U) results for a relaxed Cr2Cd2O crystal.

Cell lengths 5.7789, 5.7789, 5.7264 Å; angles 90.00, 90.00, 90.00 degrees
With the nearest neighbours (Å) after each atom.
Space group P4/mbm (No. 127)
Symmetry-distinct sites (fractional):
Cr 0.2099 0.2901 0.0000 x4  2 O 2.07
Cd 0.1738 0.6738 0.5000 x4  5 Cd 2.84-3.02, 2 Cr 3.02
O 0.0000 0.0000 0.0000 x2  4 Cr 2.07

As for the total magnetization: 8.31 μB per formula unit.

ii | DFT (GGA+U) results for a relaxed Cr2Cd2O crystal.

Cell lengths 3.7154, 3.7154, 15.0378 Å; angles 90.00, 90.00, 90.00 degrees
With the nearest neighbours (Å) after each atom.
Space group I4/mmm (No. 139)
Symmetry-distinct sites (fractional):
Cr 0.0000 0.0000 0.0883 x4  1 Cr 2.66, 4 O 2.94
Cd 0.0000 0.5000 0.2500 x4  4 Cd 2.63
O 0.0000 0.0000 0.5000 x2  8 Cr 2.94

As for the total magnetization: 9.50 μB per formula unit.

Most stable one: i, least stable one: ii.

i | DFT (GGA+U) results for a relaxed CrCdO4 crystal.

Cell lengths 5.7460, 8.9482, 7.1035 Å; angles 90.00, 90.00, 90.00 degrees
With the nearest neighbours (Å) after each atom.
Space group Cmcm (No. 63)
Symmetry-distinct sites (fractional):
Cr 0.0000 0.1428 0.2500 x4  4 O 1.64-1.70
Cd 0.0000 0.5000 0.0000 x4  6 O 2.30-2.33
O 0.0000 0.2478 0.0611 x8  1 Cr 1.64
O 0.2439 0.0345 0.2500 x8  1 Cr 1.70

As for the total magnetization: 0.00 μB per formula unit.

ii | DFT (GGA+U) results for a relaxed CrCdO4 crystal.

Cell lengths 10.5946, 9.8657, 7.1973 Å; angles 90.00, 101.65, 90.00 degrees
With the nearest neighbours (Å) after each atom.
Space group C2/m (No. 12)
Symmetry-distinct sites (fractional):
Cr 0.0000 0.2447 0.0000 x4  4 O 1.64-1.70
Cr 0.2258 0.0000 0.5821 x4  4 O 1.64-1.76
Cd 0.0000 0.3133 0.5000 x4  6 O 2.27-2.38
Cd 0.2112 0.5000 0.8749 x4  6 O 2.25-2.37
O 0.0451 0.3410 0.8282 x8  1 Cr 1.70
O 0.1229 0.1512 0.0998 x8  1 Cr 1.64
O 0.1410 0.1379 0.5210 x8  1 Cr 1.64
O 0.1459 0.5000 0.5396 x4  1 Cr 1.76
O 0.2161 0.5000 0.1888 x4  1 Cr 1.64

As for the total magnetization: 0.00 μB per formula unit.

Most stable one: i, least stable one: ii.

i | DFT (GGA+U) results for a relaxed Cr3CdO crystal.

Cell lengths 5.2365, 5.2365, 5.2365 Å; angles 90.00, 90.00, 90.00 degrees
With the nearest neighbours (Å) after each atom.
Space group Pm-3m (No. 221)
Symmetry-distinct sites (fractional):
Cr 0.0000 0.0000 0.5000 x3  2 Cd 2.62
Cd 0.0000 0.0000 0.0000 x1  6 Cr 2.62
O 0.5000 0.5000 0.5000 x1  12 Cr 3.70

As for the total magnetization: 13.88 μB per formula unit.

ii | DFT (GGA+U) results for a relaxed Cr3CdO crystal.

Cell lengths 4.3409, 4.3409, 4.3409 Å; angles 90.00, 90.00, 90.00 degrees
With the nearest neighbours (Å) after each atom.
Space group Pm-3m (No. 221)
Symmetry-distinct sites (fractional):
Cr 0.0000 0.0000 0.5000 x3  2 O 2.17
Cd 0.5000 0.5000 0.5000 x1  12 Cr 3.07
O 0.0000 0.0000 0.0000 x1  6 Cr 2.17

As for the total magnetization: 12.21 μB per formula unit.

Most stable one: ii, least stable one: i.